Crystalline Pu2Fe3Ge5 at its relaxed geometry, computed with PBE.

For the calculated total energy, the calculation gives -321.3 eV per cell. The formation energy is -0.318 eV/atom. The value obtained for the density of states at the Fermi level is 2.140 states/eV/atom.

It has space group Ibam (No. 72), with a = 9.6288 Å, b = 12.1132 Å, c = 5.6659 Å, α = 90.00°, β = 90.00° and γ = 90.00°. The asymmetric unit holds Pu at (0.2267, 0.1443, 0.0000), Fe at (0.0000, 0.5000, 0.2500), Fe at (0.0911, 0.1474, 0.5000), Ge at (0.0000, 0.0000, 0.2500), Ge at (0.0000, 0.2919, 0.2500) and Ge at (0.1745, 0.4159, 0.0000).

Crystalline Mg3Tl2Br8 at its relaxed geometry, computed with PBE.

For the calculated total energy, the calculation gives -78.9 eV per cell. As for the formation energy from raw total energies: -16.6 eV/f.u. The value obtained for the density of states at the Fermi level is 0.000 states/eV/atom.

It has space group C2/m (No. 12), with a = 16.1131 Å, b = 8.0313 Å, c = 6.9720 Å, α = 90.00°, β = 107.02° and γ = 90.00°. The asymmetric unit holds Mg at (0.0000, 0.0000, 0.0000), Mg at (0.0000, 0.2589, 0.5000), Tl at (0.2350, 0.5000, 0.1656), Br at (0.0954, 0.2331, 0.8881), Br at (0.0962, 0.0000, 0.3967) and Br at (0.1045, 0.5000, 0.4466).

Crystalline CdSi2Au at its relaxed geometry, computed with PBE.

For the calculated total energy, the calculation gives -14.3 eV per cell. As for the formation energy from raw total energies: 0.8 eV/f.u. The value obtained for the density of states at the Fermi level is 0.259 states/eV/atom.

It has space group Pm (No. 6), with a = 3.4816 Å, b = 3.4664 Å, c = 6.4689 Å, α = 90.00°, β = 104.28° and γ = 90.00°. The asymmetric unit holds Cd at (0.0000, 0.0000, 0.0000), Si at (0.1530, 0.5000, 0.6171), Si at (0.6138, 0.0000, 0.5647) and Au at (0.6130, 0.5000, 0.2493).

Crystalline TbErMg4 at its relaxed geometry, computed with PBE.

For the calculated total energy, the calculation gives -63.8 eV per cell. The formation energy is -0.065 eV/atom. The calculation puts the relative energy among the computed polymorphs at 0 meV/atom. The value obtained for the density of states at the Fermi level is 1.237 states/eV/atom.

It has space group F-43m (No. 216), with a = 8.5194 Å, b = 8.5194 Å, c = 8.5194 Å, α = 90.00°, β = 90.00° and γ = 90.00°. The asymmetric unit holds Tb at (0.0000, 0.0000, 0.0000), Er at (0.2500, 0.2500, 0.7500) and Mg at (0.1250, 0.1250, 0.3750).

Crystalline SiAs2Au at its relaxed geometry, computed with PBE.

For the calculated total energy, the calculation gives -34.0 eV per cell. As for the formation energy from raw total energies: 1.0 eV/f.u. The value obtained for the density of states at the Fermi level is 0.292 states/eV/atom.

It has space group Cm (No. 8), with a = 11.5891 Å, b = 3.3348 Å, c = 5.2435 Å, α = 90.00°, β = 111.24° and γ = 90.00°. The asymmetric unit holds Si at (0.0000, 0.0000, 0.0000), As at (0.3087, 0.0000, 0.8205), As at (0.4549, 0.0000, 0.3054) and Au at (0.1459, 0.5000, 0.9123).

Crystalline Be2InPt at its relaxed geometry, computed with PBE.

For the calculated total energy, the calculation gives -16.8 eV per cell. The formation energy is -0.138 eV/atom. The value obtained for the density of states at the Fermi level is 0.260 states/eV/atom.

It has space group Pmm2 (No. 25), with a = 2.8500 Å, b = 3.7165 Å, c = 5.4756 Å, α = 90.00°, β = 90.00° and γ = 90.00°. The asymmetric unit holds Be at (0.0000, 0.0000, 0.0000), Be at (0.0000, 0.5000, 0.2536), In at (0.5000, 0.5000, 0.7426) and Pt at (0.5000, 0.0000, 0.3344).

Crystalline Zr3TlH at its relaxed geometry, computed with PBE.

For the calculated total energy, the calculation gives -115.7 eV per cell. The value obtained for the density of states at the Fermi level is 0.937 states/eV/atom.

It has space group Cmcm (No. 63), with a = 5.7266 Å, b = 16.0787 Å, c = 5.3833 Å, α = 90.00°, β = 90.00° and γ = 90.00°. The asymmetric unit holds Zr at (0.0000, 0.0000, 0.0000), Zr at (0.2461, 0.1697, 0.2500), Tl at (0.0000, 0.1649, 0.7500) and H at (0.0000, 0.4212, 0.7500).

Crystalline Li4Th3Pb4 at its relaxed geometry, computed with PBE.

For the calculated total energy, the calculation gives -97.0 eV per cell. The formation energy is -0.339 eV/atom. The value obtained for the density of states at the Fermi level is 0.502 states/eV/atom.

It has space group Immm (No. 71), with a = 4.8045 Å, b = 7.3534 Å, c = 15.3913 Å, α = 90.00°, β = 90.00° and γ = 90.00°. The asymmetric unit holds Li at (0.0000, 0.1839, 0.1724), Th at (0.0000, 0.0000, 0.3760), Th at (0.0000, 0.5000, 0.5000), Pb at (0.0000, 0.2906, 0.0000) and Pb at (0.0000, 0.5000, 0.2828).

Crystalline U2AgBi4 at its relaxed geometry, computed with PBE.

For the calculated total energy, the calculation gives -40.6 eV per cell. The formation energy is 0.057 eV/atom. The value obtained for the density of states at the Fermi level is 2.417 states/eV/atom.

It has space group P-4m2 (No. 115), with a = 4.5353 Å, b = 4.5353 Å, c = 9.8865 Å, α = 90.00°, β = 90.00° and γ = 90.00°. The asymmetric unit holds U at (0.0000, 0.5000, 0.2431), Ag at (0.5000, 0.5000, 0.0000), Bi at (0.0000, 0.0000, 0.5000), Bi at (0.0000, 0.5000, 0.8214) and Bi at (0.5000, 0.5000, 0.5000).

Crystalline PmTmCo at its relaxed geometry, computed with PBE.

For the calculated total energy, the calculation gives -33.1 eV per cell. The formation energy is -0.079 eV/atom. The calculation puts the relative energy among the computed polymorphs at 45 meV/atom. The value obtained for the density of states at the Fermi level is 0.792 states/eV/atom.

It has space group I4mm (No. 107), with a = 3.3838 Å, b = 3.3838 Å, c = 12.7110 Å, α = 90.00°, β = 90.00° and γ = 90.00°. The asymmetric unit holds Pm at (0.0000, 0.0000, 0.0000), Tm at (0.0000, 0.0000, 0.7431) and Co at (0.0000, 0.0000, 0.3631).

Crystalline SiNiPb2 at its relaxed geometry, computed with PBE.

For the calculated total energy, the calculation gives -18.3 eV per cell. As for the formation energy from raw total energies: 0.3 eV/f.u. The calculation puts the relative energy among the computed polymorphs at 151 meV/atom. The value obtained for the density of states at the Fermi level is 0.513 states/eV/atom.

It has space group P4mm (No. 99), with a = 3.2156 Å, b = 3.2156 Å, c = 8.4302 Å, α = 90.00°, β = 90.00° and γ = 90.00°. The asymmetric unit holds Si at (0.0000, 0.0000, 0.0000), Ni at (0.5000, 0.5000, 0.0972), Pb at (0.0000, 0.0000, 0.3565) and Pb at (0.5000, 0.5000, 0.7361).

Crystalline HoBeZn at its relaxed geometry, computed with PBE.

For the calculated total energy, the calculation gives -40.2 eV per cell. The formation energy is -0.160 eV/atom. The calculation puts the relative energy among the computed polymorphs at 0 meV/atom. The value obtained for the density of states at the Fermi level is 0.536 states/eV/atom.

It has space group Pnma (No. 62), with a = 5.0782 Å, b = 3.8173 Å, c = 11.0789 Å, α = 90.00°, β = 90.00° and γ = 90.00°. The asymmetric unit holds Ho at (0.1119, 0.2500, 0.1327), Be at (0.1059, 0.2500, 0.4757) and Zn at (0.1288, 0.7500, 0.3466).

Crystalline Ho2Sc5Tl at its relaxed geometry, computed with PBE.

For the calculated total energy, the calculation gives -87.1 eV per cell. The formation energy is -0.049 eV/atom. The value obtained for the density of states at the Fermi level is 1.728 states/eV/atom.

It has space group Pbam (No. 55), with a = 6.6378 Å, b = 13.2880 Å, c = 4.6383 Å, α = 90.00°, β = 90.00° and γ = 90.00°. The asymmetric unit holds Ho at (0.2443, 0.1290, 0.0000), Sc at (0.0000, 0.0000, 0.5000), Sc at (0.0053, 0.2560, 0.5000), Sc at (0.2413, 0.8745, 0.0000) and Tl at (0.0000, 0.5000, 0.5000).

Crystalline HoPuCoRu at its relaxed geometry, computed with PBE.

For the calculated total energy, the calculation gives -143.7 eV per cell. The formation energy is -0.162 eV/atom. The value obtained for the density of states at the Fermi level is 1.314 states/eV/atom.

It has space group F-43m (No. 216), with a = 6.7146 Å, b = 6.7146 Å, c = 6.7146 Å, α = 90.00°, β = 90.00° and γ = 90.00°. The asymmetric unit holds Ho at (0.0000, 0.0000, 0.0000), Pu at (0.0000, 0.0000, 0.5000), Co at (0.2500, 0.2500, 0.2500) and Ru at (0.2500, 0.2500, 0.7500).

Crystalline LiTbPmEr at its relaxed geometry, computed with PBE.

For the calculated total energy, the calculation gives -60.8 eV per cell. The formation energy is 0.164 eV/atom. The value obtained for the density of states at the Fermi level is 0.951 states/eV/atom.

It has space group F-43m (No. 216), with a = 7.7899 Å, b = 7.7899 Å, c = 7.7899 Å, α = 90.00°, β = 90.00° and γ = 90.00°. The asymmetric unit holds Li at (0.0000, 0.0000, 0.0000), Tb at (0.2500, 0.2500, 0.2500), Pm at (0.2500, 0.2500, 0.7500) and Er at (0.0000, 0.0000, 0.5000).

Crystalline SiSb at its relaxed geometry, computed with PBE.

For the calculated total energy, the calculation gives -53.0 eV per cell. As for the formation energy from raw total energies: 0.7 eV/f.u. The value obtained for the density of states at the Fermi level is 0.378 states/eV/atom.

It has space group Pmn2_1 (No. 31), with a = 11.2195 Å, b = 3.9561 Å, c = 6.9166 Å, α = 90.00°, β = 90.00° and γ = 90.00°. The asymmetric unit holds Si at (0.0000, 0.1873, 0.0000), Si at (0.1865, 0.8638, 0.0668), Sb at (0.0000, 0.6408, 0.2928) and Sb at (0.1726, 0.6460, 0.7002).

Crystalline CaPmCdAu at its relaxed geometry, computed with PBE.

For the calculated total energy, the calculation gives -13.2 eV per cell. The formation energy is -0.566 eV/atom. The calculation puts the relative energy among the computed polymorphs at 0 meV/atom. The value obtained for the density of states at the Fermi level is 0.856 states/eV/atom.

It has space group P4mm (No. 99), with a = 3.7319 Å, b = 3.7319 Å, c = 7.6060 Å, α = 90.00°, β = 90.00° and γ = 90.00°. The asymmetric unit holds Ca at (0.0000, 0.0000, 0.0000), Pm at (0.0000, 0.0000, 0.5347), Cd at (0.5000, 0.5000, 0.2673) and Au at (0.5000, 0.5000, 0.7550).

Crystalline Pm2YPa2Ru5 at its relaxed geometry, computed with PBE.

For the calculated total energy, the calculation gives -168.1 eV per cell. The formation energy is -0.273 eV/atom. The value obtained for the density of states at the Fermi level is 1.010 states/eV/atom.

It has space group P4/mbm (No. 127), with a = 11.1514 Å, b = 11.1514 Å, c = 3.4517 Å, α = 90.00°, β = 90.00° and γ = 90.00°. The asymmetric unit holds Pm at (0.1660, 0.3340, 0.0000), Y at (0.0000, 0.0000, 0.0000), Pa at (0.1437, 0.6437, 0.0000), Ru at (0.0000, 0.5000, 0.5000) and Ru at (0.0408, 0.7817, 0.5000).

Crystalline Sr2AcHg4 at its relaxed geometry, computed with PBE.

For the calculated total energy, the calculation gives -22.7 eV per cell. The formation energy is -0.381 eV/atom. The value obtained for the density of states at the Fermi level is 1.036 states/eV/atom.

It has space group I4/mmm (No. 139), with a = 7.8864 Å, b = 7.8864 Å, c = 7.9938 Å, α = 90.00°, β = 90.00° and γ = 90.00°. The asymmetric unit holds Sr at (0.0000, 0.5000, 0.0000), Ac at (0.0000, 0.0000, 0.0000) and Hg at (0.2500, 0.2500, 0.2500).

Crystalline RbZr3P at its relaxed geometry, computed with PBE.

For the calculated total energy, the calculation gives -21.0 eV per cell. The formation energy is 2.208 eV/atom. The calculation puts the relative energy among the computed polymorphs at 1913 meV/atom. The value obtained for the density of states at the Fermi level is 1.470 states/eV/atom.

It has space group Pm-3m (No. 221), with a = 5.0033 Å, b = 5.0033 Å, c = 5.0033 Å, α = 90.00°, β = 90.00° and γ = 90.00°. The asymmetric unit holds Rb at (0.0000, 0.0000, 0.0000), Zr at (0.0000, 0.0000, 0.5000) and P at (0.5000, 0.5000, 0.5000).

Crystalline MgTl5Hg4 at its relaxed geometry, computed with PBE.

For the calculated total energy, the calculation gives -29.3 eV per cell. The formation energy is -0.004 eV/atom. The value obtained for the density of states at the Fermi level is 0.457 states/eV/atom.

It has space group C2/m (No. 12), with a = 16.9275 Å, b = 3.5582 Å, c = 9.5404 Å, α = 90.00°, β = 96.92° and γ = 90.00°. The asymmetric unit holds Mg at (0.0000, 0.0000, 0.0000), Tl at (0.0000, 0.0000, 0.5000), Tl at (0.1462, 0.5000, 0.2362), Tl at (0.1903, 0.5000, 0.6054), Hg at (0.0425, 0.5000, 0.7807) and Hg at (0.1785, 0.0000, 0.9436).

Crystalline BeNi at its relaxed geometry, computed with PBE.

For the calculated total energy, the calculation gives -161.6 eV per cell. The formation energy is -0.297 eV/atom. The value obtained for the density of states at the Fermi level is 0.433 states/eV/atom.

It has space group Fddd (No. 70, origin choice 2), with a = 2.4177 Å, b = 9.4342 Å, c = 12.9290 Å, α = 90.00°, β = 90.00° and γ = 90.00°. The asymmetric unit holds Be at (0.1250, 0.2683, 0.1250) and Ni at (0.1250, 0.1250, 0.5198).

Crystalline Y2SbAs at its relaxed geometry, computed with PBE.

For the calculated total energy, the calculation gives -100.0 eV per cell. As for the formation energy from raw total energies: -3.3 eV/f.u. The value obtained for the density of states at the Fermi level is 0.000 states/eV/atom.

It has space group I-42d (No. 122), with a = 6.7840 Å, b = 6.7840 Å, c = 13.0991 Å, α = 90.00°, β = 90.00° and γ = 90.00°. The asymmetric unit holds Y at (0.2239, 0.2500, 0.1250), Sb at (0.0000, 0.0000, 0.5000) and As at (0.0000, 0.0000, 0.0000).